Entry from Alexandria: a geometry-optimized AcMn2SeO2 structure (PBE with a Hubbard U).

Properties
The electronic total energy comes out at -6.925 eV/atom. As for the space group: P2_1/m.

a = 6.980 Å, b = 5.789 Å, c = 7.638 Å
α = 90.00°, β = 112.91°, γ = 90.00°
Element x y z (fractional)
Ac: 0.225 0.250 0.243
Ac: 0.775 0.750 0.757
Mn: 0.294 0.004 0.830
Mn: 0.294 0.496 0.830
Mn: 0.706 0.504 0.170
Mn: 0.706 0.996 0.170
Se: 0.468 0.750 0.297
Se: 0.532 0.250 0.703
O: 0.090 0.750 0.726
O: 0.137 0.250 0.919
O: 0.863 0.750 0.081
O: 0.910 0.250 0.274